Density functional theory data (PBE with a Hubbard U) for Mn2BiTeO6 after structural relaxation.

Lattice parameters (Å, degrees): 5.659 5.666 5.848 61.01 61.19 60.06
Sites, in units of the cell vectors:
Mn: 0.534 0.533 0.399
Mn: 0.007 0.007 0.981
Bi: 0.808 0.805 0.579
O: 0.678 0.216 0.236
O: 0.870 0.678 0.237
O: 0.325 0.720 0.773
O: 0.182 0.326 0.771
O: 0.216 0.871 0.237
O: 0.718 0.184 0.771
Te: 0.324 0.322 0.031

Properties
Space-group type ... P1, No. 1
E_tot ... -6.374 eV/atom